(1)
DFT (PBE-GGA) results for an optimized crystal structure of Ni2RhCl.

Properties
N(E_F) in states/eV per cell: 5.63
Calculated total energy in eV per atom: -4.916
Space group: Cm
Total moment in μB per formula unit: 1.86

```
4
Lattice="4.2003 0.1727 -0.2944 3.1394 2.7958 -0.2944 0.9151 0.3701 6.1203" Properties=species:S:1:pos:R:3 pbc="T T T"
Cl 3.4860 1.4099 1.0551
Ni 7.8276 3.1658 5.1512
Ni 5.7081 2.3086 4.2104
Rh 3.6152 1.4621 3.4120
```


(2)
DFT (PBE-GGA) results for an optimized crystal structure of Ni3BPb.

Properties
N(E_F) in states/eV per cell: 7.15
Calculated total energy in eV per atom: -3.421
Space group: Pm-3m
Total moment in μB per formula unit: 0.94

```
5
Lattice="4.8044 0.0000 0.0000 0.0000 4.8044 0.0000 0.0000 0.0000 4.8044" Properties=species:S:1:pos:R:3 pbc="T T T"
Pb 0.0000 0.0000 0.0000
Ni 0.0000 2.4022 0.0000
Ni 0.0000 0.0000 2.4022
Ni 2.4022 0.0000 0.0000
B 2.4022 2.4022 2.4022
```


(3)
DFT (PBE-GGA) results for an optimized crystal structure of HfSnOs.

Properties
N(E_F) in states/eV per cell: 3.93
Calculated total energy in eV per atom: -8.506
Space group: I4/mmm
Total moment in μB per formula unit: 0.00

```
6
Lattice="-1.4096 -2.8184 0.4658 0.1661 -0.5995 -3.1242 11.5105 -3.4768 2.9031" Properties=species:S:1:pos:R:3 pbc="T T T"
Os 6.2361 -2.9699 0.9014
Os 4.0309 -3.9248 -0.6566
Hf 3.2748 -1.5596 0.4734
Hf 6.9922 -5.3351 -0.2286
Sn 0.6820 -2.3298 -1.1407
Sn 9.5850 -4.5648 1.3855
```


(4)
DFT (PBE-GGA) results for an optimized crystal structure of Hg2MoAu.

Properties
N(E_F) in states/eV per cell: 2.96
Calculated total energy in eV per atom: -3.188
Space group: Pmm2
Total moment in μB per formula unit: 0.00

```
4
Lattice="2.9105 0.0000 0.0000 0.0000 4.2386 0.0000 0.0000 0.0000 6.2426" Properties=species:S:1:pos:R:3 pbc="T T T"
Au 1.4553 2.1193 4.5541
Hg 0.0000 0.0000 6.1858
Hg 1.4553 2.1193 1.6792
Mo 0.0000 0.0000 3.1875
```


(5)
DFT (PBE-GGA) results for an optimized crystal structure of Y7In2Ru2.

Properties
N(E_F) in states/eV per cell: 8.44
Calculated total energy in eV per atom: -6.551
Space group: Cmmm
Total moment in μB per formula unit: 0.00

```
11
Lattice="-1.0954 4.0971 5.3343 -1.5712 -5.6563 4.0217 6.5835 -1.7573 0.1005" Properties=species:S:1:pos:R:3 pbc="T T T"
Y 2.8988 -2.2934 1.0562
Y -1.7259 -2.1931 5.6830
Y 1.0181 -1.0232 8.4003
Y 5.6427 -1.1235 3.7735
Y 0.0000 0.0000 0.0000
Y 1.5547 -3.1119 5.7617
Y 2.3621 -0.2047 3.6948
In 3.7347 -0.9010 6.4872
In 0.1822 -2.4156 2.9692
Ru 1.1605 2.3772 3.7967
Ru 2.7564 -5.6938 5.6598
```